Entry 1:
# Nb2InAg

A relaxed Nb2InAg crystal (PBE, OQMD via LeMat-Bulk).

Results
M_tot	0.0	μB/f.u.

Lattice parameters (Å, degrees): 6.7317 6.7317 6.7317 90.00 90.00 90.00
With the nearest neighbours (Å) after each atom.
Space group F-43m (No. 216)
One atom of each set of equivalent atoms:
Nb: 0.0000 0.0000 0.0000 (multiplicity 4)  4 Nb 2.91, 4 Ag 2.91
Nb: 0.2500 0.2500 0.2500 (multiplicity 4)  4 In 2.91, 4 Nb 2.91
In: 0.0000 0.0000 0.5000 (multiplicity 4)  4 Nb 2.91, 4 Ag 2.91
Ag: 0.2500 0.2500 0.7500 (multiplicity 4)  4 Nb 2.91, 4 In 2.91

Entry 2:
# ZnSbTe2

A relaxed ZnSbTe2 crystal (PBE, OQMD via LeMat-Bulk).

Lattice parameters (Å, degrees): 7.4498 7.4498 7.4498 90.00 90.00 90.00
With the nearest neighbours (Å) after each atom.
Space group F-43m (No. 216)
One atom of each set of equivalent atoms:
Zn: 0.0000 0.0000 0.0000 (multiplicity 4)  4 Sb 3.23, 4 Te 3.23
Sb: 0.2500 0.2500 0.7500 (multiplicity 4)  4 Te 3.23, 4 Zn 3.23
Te: 0.0000 0.0000 0.5000 (multiplicity 4)  4 Sb 3.23, 4 Te 3.23
Te: 0.2500 0.2500 0.2500 (multiplicity 4)  4 Te 3.23, 4 Zn 3.23

Number 1: total DFT energy (no corrections) -6.04 eV per atom. Number 2: total DFT energy (no corrections) -2.60 eV per atom.